This record from the Alexandria database describes an optimized crystal structure of CoSn6Pd3. The functional is PBE.

Unit cell a=7.069 b=6.636 c=10.758 alpha=90.00 beta=123.47 gamma=90.00
Sites, in units of the cell vectors:
Co  0.000  0.000  0.000
Co  0.000  0.500  0.500
Sn  0.077  0.015  0.255
Sn  0.077  0.485  0.755
Sn  0.230  0.173  0.584
Sn  0.230  0.327  0.084
Sn  0.388  0.638  0.565
Sn  0.388  0.862  0.065
Sn  0.612  0.138  0.935
Sn  0.612  0.362  0.435
Sn  0.770  0.673  0.916
Sn  0.770  0.827  0.416
Sn  0.923  0.515  0.245
Sn  0.923  0.985  0.745
Pd  0.287  0.662  0.256
Pd  0.287  0.838  0.756
Pd  0.500  0.000  0.500
Pd  0.500  0.500  0.000
Pd  0.713  0.162  0.244
Pd  0.713  0.338  0.744

## Properties
E_form   -277 meV/atom
E   -4.9474 eV per atom